PmTaPd2 | PBE-GGA | optimized geometry

Summary:
DFT formation energy = -352 meV/atom
total magnetic moment = 0.00 μB/f.u.

Unit cell a=3.3246 b=3.3246 c=7.2305 alpha=90.00 beta=90.00 gamma=90.00
Last column: nearest neighbours and their distance in Å.
Sites, in units of the cell vectors:
Pm 0.0000 0.0000 0.0000  8 Pd 3.21, 4 Pm 3.32
Ta 0.0000 0.0000 0.5000  8 Pd 2.75
Pd 0.5000 0.5000 0.3016  4 Ta 2.75, 1 Pd 2.87
Pd 0.5000 0.5000 0.6984  4 Ta 2.75, 1 Pd 2.87


TbPmPd4 | PBE-GGA | optimized geometry

Summary:
DFT formation energy = -571 meV/atom
total magnetic moment = 0.00 μB/f.u.
relative energy among the computed polymorphs = 275 meV per atom

Unit cell a=3.9504 b=3.9504 c=8.6494 alpha=90.00 beta=90.00 gamma=90.00
Last column: nearest neighbours and their distance in Å.
Sites, in units of the cell vectors:
Tb 0.0000 0.0000 0.0000  8 Pd 2.90
Pm 0.5000 0.5000 0.5000  8 Pd 2.96
Pd 0.0000 0.5000 0.2454  4 Pd 2.79, 2 Tb 2.90, 2 Pm 2.96
Pd 0.0000 0.5000 0.7546  4 Pd 2.79, 2 Tb 2.90, 2 Pm 2.96
Pd 0.5000 0.0000 0.2454  4 Pd 2.79, 2 Tb 2.90, 2 Pm 2.96
Pd 0.5000 0.0000 0.7546  4 Pd 2.79, 2 Tb 2.90, 2 Pm 2.96


TbPmPd | PBE-GGA | optimized geometry

Summary:
DFT formation energy = -380 meV/atom
total magnetic moment = 0.00 μB/f.u.
relative energy among the computed polymorphs = 192 meV per atom

Unit cell a=4.8086 b=4.8086 c=3.9275 alpha=90.00 beta=90.00 gamma=120.00
Last column: nearest neighbours and their distance in Å.
Sites, in units of the cell vectors:
Tb 0.0000 0.0000 0.0000  3 Pd 2.91
Pm 0.3333 0.6667 0.5420  3 Pd 3.04, 3 Tb 3.31
Pd 0.6667 0.3333 0.2235  3 Tb 2.91, 3 Pm 3.04